The following is a PBE-GGA calculation of a relaxed structure of Sc2MnCd, from Alexandria via LeMat-Bulk.

SG = No. 160
mass density = 5.071 Mg/m³
spin magnetization = 0.853 μB per atom
total DFT energy (no corrections) = -5.5286 eV per atom

a b c (Å): 9.942 9.942 9.942
angles (deg): 18.26 18.26 18.26
Fractional coordinates of all 4 atoms:
Cd 0.494 0.494 0.494
Sc 0.249 0.249 0.249
Sc 0.008 0.008 0.008
Mn 0.750 0.750 0.750